# 1
Zn2CoSbO6, relaxed, DFT GGA+U; crystal system = monoclinic; symmetry = P2_1/m, No. 11; final energy = -0.1967 hartree per atom
1.0
-4.1843 4.9784 -4.1266
0.5918 -3.0310 -4.2567
-4.4020 -2.6439 1.2739
Co Zn O Sb
2 4 12 2
Cartesian
-1.7962 0.9737 -4.1916 Co
0.2959 -1.5155 -2.1283 Co
-3.2053 3.6131 -3.1724 Zn
-4.7891 -4.3097 -3.9370 Zn
-2.7439 -1.4322 -2.5394 Zn
-5.2505 0.7357 -4.5700 Zn
-3.0583 -2.4328 -0.7791 O
-3.0905 -2.9304 -3.9954 O
-5.4944 -1.8711 -4.8283 O
-6.9446 0.1230 -3.5914 O
-1.0499 -0.8196 -3.5180 O
-0.9636 -0.6535 -0.7659 O
-4.6002 -0.5983 -2.2997 O
-3.3943 -0.0982 -4.8097 O
-4.9361 1.7363 -6.3303 O
-4.9040 2.2338 -3.1140 O
-2.5001 1.1745 -2.2811 O
-7.0308 -0.0430 -6.3435 O
-2.2010 -1.3220 0.6369 Sb
-4.2931 1.1672 -1.4263 Sb



# 2
ZrCoSbO6, relaxed, DFT GGA+U; crystal system = tetragonal; symmetry = P4_2nm, No. 102; final energy = -0.2627 hartree per atom
1.0
4.7672 0.0000 0.0000
0.0000 4.7672 0.0000
0.0000 0.0000 9.4811
O Co Zr Sb
12 2 2 2
Cartesian
1.4184 1.4184 3.1867 O
0.9652 3.8020 7.9273 O
3.8105 0.9568 4.6720 O
1.4921 1.4921 6.3334 O
3.8020 0.9652 7.9273 O
3.8757 0.8915 1.5928 O
1.4268 1.4268 9.4125 O
3.2751 3.2751 6.3334 O
3.3489 3.3489 3.1867 O
3.3404 3.3404 9.4125 O
0.8915 3.8757 1.5928 O
0.9568 3.8105 4.6720 O
2.3836 2.3836 4.7583 Co
0.0000 0.0000 0.0178 Co
2.3836 2.3836 1.6223 Zr
0.0000 0.0000 6.3629 Zr
0.0000 0.0000 3.1597 Sb
2.3836 2.3836 7.9003 Sb



# 3
ScCo3O, relaxed, DFT GGA+U; crystal system = cubic; symmetry = Pm-3m, No. 221; ΔE to the lowest computed polymorph = 1790 meV/atom
1.0
4.4387 0.0000 0.0000
0.0000 4.4387 0.0000
0.0000 0.0000 4.4387
Co O Sc
3 1 1
Cartesian
0.0000 0.0000 2.2194 Co
2.2194 0.0000 0.0000 Co
0.0000 2.2194 0.0000 Co
2.2194 2.2194 2.2194 O
0.0000 0.0000 0.0000 Sc



# 4
Sc2CoO, relaxed, DFT GGA+U; crystal system = trigonal; symmetry = R-3m, No. 166; final energy = -0.2390 hartree per atom
1.0
-2.0070 -2.4723 6.2445
1.4517 -1.4221 6.7085
-1.2314 1.0414 6.8215
Sc Co O
2 1 1
Cartesian
-0.1684 -0.2690 1.8643 Sc
-1.6182 -2.5840 17.9102 Sc
-0.8933 -1.4265 9.8873 Co
0.0000 0.0000 0.0000 O



Values of V, in order: 10.71; 11.97; 17.49; 19.22, all in A^3/atom.